1.
Here is crystalline Ta2RhPb at its relaxed geometry from Alexandria via LeMat-Bulk. Energies are from GGA-PBE.

Results
- ΔH_f (0 K) (eV per atom) = 0.299
- density (g/cm3) = 14.75
- electronic total energy (eV per atom) = -8.39

Cell lengths 9.739, 9.739, 9.739 Å; angles 17.83, 17.83, 17.83 degrees
Positions (direct):
Ta 0.742 0.742 0.742
Ta 0.258 0.258 0.258
Rh 0.000 0.000 0.000
Pb 0.500 0.500 0.500

---

2.
Here is crystalline TaRhPb2 at its relaxed geometry from Alexandria via LeMat-Bulk. Energies are from GGA-PBE.

Results
- ΔH_f (0 K) (eV per atom) = 0.471
- density (g/cm3) = 14.03
- electronic total energy (eV per atom) = -6.18
- energy relative to the lowest polymorph listed for this composition (eV per atom) = 0.473

Cell lengths 5.641, 5.641, 5.641 Å; angles 136.94, 136.94, 62.53 degrees
Positions (direct):
Ta 0.750 0.250 0.500
Rh 0.500 0.500 0.000
Pb 0.000 0.000 0.000
Pb 0.250 0.750 0.500

---

3.
Here is crystalline TaRh2Pb at its relaxed geometry from Alexandria via LeMat-Bulk. Energies are from GGA-PBE.

Results
- ΔH_f (0 K) (eV per atom) = -0.083
- density (g/cm3) = 13.79
- electronic total energy (eV per atom) = -7.65

Cell lengths 5.007, 5.007, 4.743 Å; angles 77.19, 77.19, 38.24 degrees
Positions (direct):
Ta 0.488 0.488 0.579
Rh 0.998 0.998 0.011
Rh 0.765 0.765 0.697
Pb 0.249 0.249 0.213

---

4.
Here is crystalline TaRhPb2 at its relaxed geometry from Alexandria via LeMat-Bulk. Energies are from GGA-PBE.

Results
- ΔH_f (0 K) (eV per atom) = 0.250
- density (g/cm3) = 13.56
- electronic total energy (eV per atom) = -6.41
- energy relative to the lowest polymorph listed for this composition (eV per atom) = 0.252

Cell lengths 5.632, 5.632, 5.359 Å; angles 69.69, 69.69, 32.65 degrees
Positions (direct):
Ta 0.785 0.785 0.784
Rh 0.467 0.467 0.463
Pb 0.020 0.020 0.942
Pb 0.229 0.229 0.312

---

5.
Here is crystalline Ta2RhPb at its relaxed geometry from Alexandria via LeMat-Bulk. Energies are from GGA-PBE.

Results
- ΔH_f (0 K) (eV per atom) = 0.578
- density (g/cm3) = 14.03
- electronic total energy (eV per atom) = -8.11

Cell lengths 3.950, 3.950, 10.575 Å; angles 79.24, 79.24, 90.00 degrees
Positions (direct):
Pb 0.000 0.000 0.000
Pb 0.750 0.250 0.500
Rh 0.500 0.500 0.000
Rh 0.250 0.750 0.500
Ta 0.627 0.125 0.250
Ta 0.123 0.625 0.250
Ta 0.375 0.373 0.750
Ta 0.875 0.877 0.750

---

6.
Here is crystalline TaRhPb2 at its relaxed geometry from Alexandria via LeMat-Bulk. Energies are from GGA-PBE.

Results
- ΔH_f (0 K) (eV per atom) = -0.002
- density (g/cm3) = 12.76
- electronic total energy (eV per atom) = -6.66
- energy relative to the lowest polymorph listed for this composition (eV per atom) = 0.000

Cell lengths 3.233, 3.233, 8.692 Å; angles 90.00, 90.00, 90.00 degrees
Positions (direct):
Ta 0.500 0.500 0.700
Rh 0.000 0.000 0.543
Pb 0.000 0.000 0.957
Pb 0.500 0.500 0.301